SmDy2MoO8: relaxed, PBE with a Hubbard U.

a b c (Å): 5.0660 5.0655 6.8920
angles (deg): 90.00 90.00 90.46
Last column: nearest neighbours and their distance in Å.
Element x y z (fractional)
Sm  0.0000  0.0000  0.5000  6 O 2.24-2.41
Dy  0.5000  0.5000  0.7542  6 O 2.20-2.34
Dy  0.5000  0.5000  0.2458  6 O 2.20-2.34
Mo  0.0000  0.0000  0.0000  6 O 1.95-1.96
O  0.1835  0.8157  0.2076  1 Mo 1.95
O  0.7249  0.7258  0.0000  1 Mo 1.96
O  0.8165  0.1843  0.2076  1 Mo 1.95
O  0.8165  0.1843  0.7924  1 Mo 1.95
O  0.2751  0.2742  0.0000  1 Mo 1.96
O  0.1835  0.8157  0.7924  1 Mo 1.95
O  0.6860  0.6871  0.5000  2 Dy 2.20, 1 Sm 2.24
O  0.3140  0.3129  0.5000  2 Dy 2.20, 1 Sm 2.24

Output
M_tot = 0.071 μB/atom
DOS at the Fermi energy = 6.31 states/eV/f.u.
Space-group type = Cmmm, No. 65
Density = 6.6 Mg/m³
Total energy = -92.54 eV per cell